# PBE-GGA Tb3Pm2Hg, relaxed
data_Tb3Pm2Hg
_chemical_formula_sum 'Tb3 Pm2 Hg1'
_cell_length_a 3.6202
_cell_length_b 3.6202
_cell_length_c 14.1139
_cell_angle_alpha 90.00
_cell_angle_beta 90.00
_cell_angle_gamma 90.00
_space_group_name_H-M_alt 'P 4/m m m'
_space_group_IT_number 123
_space_group_name_Hall '-P 4 2'
loop_
_atom_site_label
_atom_site_type_symbol
_atom_site_fract_x
_atom_site_fract_y
_atom_site_fract_z
_atom_site_occupancy
Tb1 Tb 0.0000 0.0000 0.0000 1
Tb2 Tb 0.0000 0.0000 0.3592 1
Pm1 Pm 0.5000 0.5000 0.1801 1
Hg1 Hg 0.5000 0.5000 0.5000 1
# - electronic total energy (eV/atom) = -4.101
# - DFT formation energy (eV/atom) = -0.152